# AlCr3F GGA+U relaxed
# Electronic total energy, eV per formula unit: -28.0
# Crystal system: cubic
# Excess energy over the best structure of this formula in the dataset, meV/atom: 0
# Magnetization, μB per atom: 2.729
# DOS at the Fermi energy, states/eV per cell: 3.4
# Theoretical density, g cm⁻³: 3.7
data_AlCr3F
_chemical_formula_sum 'Al1 Cr3 F1'
_cell_length_a 4.495
_cell_length_b 4.495
_cell_length_c 4.495
_cell_angle_alpha 90.00
_cell_angle_beta 90.00
_cell_angle_gamma 90.00
_symmetry_space_group_name_H-M 'P 1'
_symmetry_Int_Tables_number 1
loop_
_symmetry_equiv_pos_as_xyz
'x,y,z'
loop_
_atom_site_label
_atom_site_fract_x
_atom_site_fract_y
_atom_site_fract_z
Al1 0.000 0.000 0.000
Cr1 0.000 0.500 0.500
Cr2 0.500 0.000 0.500
Cr3 0.500 0.500 0.000
F1 0.500 0.500 0.500